Record 1
This record from the Alexandria database describes a relaxed structure of CaZrSc2. The functional is PBE.

Output
Formation enthalpy at 0 K (eV per atom): 0.293

Unit cell a=5.314 b=5.314 c=5.314 alpha=60.00 beta=60.00 gamma=60.00
Fractional coordinates of all 4 atoms:
Ca  0.000  0.000  0.000
Zr  0.500  0.500  0.500
Sc  0.250  0.250  0.250
Sc  0.750  0.750  0.750

***

Record 2
This record from the Alexandria database describes a relaxed structure of Pm6SmTm. The functional is PBE.

Output
Formation enthalpy at 0 K (eV per atom): 0.017

Unit cell a=5.129 b=5.129 c=10.245 alpha=90.00 beta=90.00 gamma=90.00
Fractional coordinates of all 8 atoms:
Pm  0.000  0.000  0.000
Pm  0.000  0.000  0.500
Pm  0.000  0.500  0.248
Pm  0.000  0.500  0.752
Pm  0.500  0.000  0.248
Pm  0.500  0.000  0.752
Sm  0.500  0.500  0.500
Tm  0.500  0.500  0.000

***

Record 3
This record from the Alexandria database describes a relaxed structure of Rb2AcTcO6. The functional is PBE.

Output
VASP energy (eV/atom): -6.576

Unit cell a=6.224 b=6.224 c=6.224 alpha=60.00 beta=60.00 gamma=60.00
Fractional coordinates of all 10 atoms:
Rb  0.250  0.250  0.250
Rb  0.750  0.750  0.750
Ac  0.000  0.000  0.000
Tc  0.500  0.500  0.500
O  0.283  0.283  0.717
O  0.283  0.717  0.283
O  0.283  0.717  0.717
O  0.717  0.283  0.283
O  0.717  0.283  0.717
O  0.717  0.717  0.283

***

Record 4
This record from the Alexandria database describes a relaxed structure of Tl2MoPb. The functional is PBE.

Output
Formation enthalpy at 0 K (eV per atom): 0.726

Unit cell a=3.260 b=5.219 c=5.912 alpha=90.00 beta=104.98 gamma=90.00
Fractional coordinates of all 4 atoms:
Tl  0.131  0.000  0.269
Tl  0.869  0.000  0.731
Mo  0.500  0.500  0.500
Pb  0.500  0.500  0.000

***

Record 5
This record from the Alexandria database describes a relaxed structure of NaAlPS2. The functional is PBE.

Output
VASP energy (eV/atom): -3.872

Unit cell a=4.779 b=4.779 c=4.650 alpha=90.00 beta=90.00 gamma=90.00
Fractional coordinates of all 5 atoms:
Na  0.000  0.000  0.000
Al  0.500  0.500  0.500
P  0.500  0.500  0.000
S  0.000  0.500  0.500
S  0.500  0.000  0.500

***

Record 6
This record from the Alexandria database describes a relaxed structure of CuSn. The functional is PBE.

Output
Formation enthalpy at 0 K (eV per atom): 0.290

Unit cell a=7.414 b=7.414 c=7.414 alpha=94.81 beta=94.81 gamma=146.34
Fractional coordinates of all 8 atoms:
Cu  0.197  0.286  0.483
Cu  0.286  0.803  0.089
Cu  0.714  0.197  0.911
Cu  0.803  0.714  0.517
Sn  0.057  0.676  0.733
Sn  0.324  0.057  0.381
Sn  0.676  0.943  0.619
Sn  0.943  0.324  0.267

***

Record 7
This record from the Alexandria database describes a relaxed structure of CoOsN2. The functional is PBE.

Output
VASP energy (eV/atom): -7.562

Unit cell a=3.686 b=3.686 c=3.686 alpha=60.00 beta=60.00 gamma=60.00
Fractional coordinates of all 4 atoms:
Co  0.000  0.000  0.000
Os  0.500  0.500  0.500
N  0.250  0.250  0.250
N  0.750  0.750  0.750

***

Record 8
This record from the Alexandria database describes a relaxed structure of ScNbZnGe2. The functional is PBE.

Output
Formation enthalpy at 0 K (eV per atom): 0.803

Unit cell a=4.657 b=4.657 c=4.857 alpha=90.00 beta=90.00 gamma=90.00
Fractional coordinates of all 5 atoms:
Sc  0.000  0.000  0.000
Nb  0.500  0.500  0.000
Zn  0.000  0.000  0.500
Ge  0.000  0.500  0.500
Ge  0.500  0.000  0.500